DFT (PBE) results for an optimized crystal structure of Pu3InAs4.

a = 5.854 Å, b = 5.854 Å, c = 5.854 Å
α = 90.00°, β = 90.00°, γ = 90.00°
Fractional positions:
Pu 0.000 0.000 0.500
Pu 0.000 0.500 0.000
Pu 0.500 0.000 0.000
In 0.500 0.500 0.500
As 0.000 0.000 0.000
As 0.000 0.500 0.500
As 0.500 0.000 0.500
As 0.500 0.500 0.000

Computed properties:
The density of states at the Fermi level comes out at 29.44 states/eV per cell. As for the magnetic moment: 14.56 μB/f.u. As for the energy relative to the elements: -0.7158 eV per atom. The calculation puts the density at 9.49 g cm⁻³.